Record 1
VASP calculation (PBE-GGA) on a relaxed structure of OsPbO3.

Electronic total energy = -6.6753 eV/atom
Volume = 15.85 Å³/atom

Cell lengths 5.7210, 5.7210, 5.7210 Å; angles 69.45, 69.45, 69.45 degrees
Fractional positions:
Os 0.7500 0.7500 0.7500
Os 0.2500 0.2500 0.2500
Pb 0.5000 0.5000 0.5000
Pb 0.0000 0.0000 0.0000
O 0.0263 0.7500 0.4737
O 0.2500 0.5263 0.9737
O 0.5263 0.9737 0.2500
O 0.7500 0.4737 0.0263
O 0.4737 0.0263 0.7500
O 0.9737 0.2500 0.5263

---

Record 2
VASP calculation (PBE-GGA) on a relaxed structure of OsPbO3.

Electronic total energy = -6.7873 eV/atom
Volume = 12.54 Å³/atom

Cell lengths 5.5469, 5.5469, 5.5469 Å; angles 61.76, 61.76, 61.76 degrees
Fractional positions:
O 0.7500 0.3135 0.1865
O 0.8135 0.2500 0.6865
O 0.3135 0.1865 0.7500
O 0.2500 0.6865 0.8135
O 0.6865 0.8135 0.2500
O 0.1865 0.7500 0.3135
Os 0.0000 0.0000 0.0000
Os 0.5000 0.5000 0.5000
Pb 0.7500 0.7500 0.7500
Pb 0.2500 0.2500 0.2500

---

Record 3
VASP calculation (PBE-GGA) on a relaxed structure of OsPbO3.

Electronic total energy = -6.6596 eV/atom
Volume = 16.80 Å³/atom

Cell lengths 4.6064, 5.9825, 6.2015 Å; angles 90.00, 100.61, 90.00 degrees
Last column: magnetic moment on the atom in μB.
Fractional positions:
Os 0.5875 0.7500 0.2332  1.24
Os 0.4125 0.2500 0.7668  1.24
Pb 0.1405 0.2500 0.2306  0.04
Pb 0.8595 0.7500 0.7695  0.04
O 0.7524 0.4851 0.3153  0.16
O 0.2476 0.5149 0.6847  0.16
O 0.1988 0.7500 0.1213  0.16
O 0.8012 0.2500 0.8787  0.16
O 0.7524 0.0149 0.3153  0.16
O 0.2476 0.9851 0.6847  0.16

---

Record 4
VASP calculation (PBE-GGA) on a relaxed structure of Os2PbO6.

Electronic total energy = -7.1994 eV/atom
Volume = 13.65 Å³/atom

Cell lengths 5.3027, 5.3027, 5.0454 Å; angles 90.00, 90.00, 120.00 degrees
Fractional positions:
O 0.0000 0.3798 0.2933
O 0.3798 0.3798 0.7067
O 0.6202 0.0000 0.7067
O 0.6202 0.6202 0.2933
O 0.0000 0.6202 0.7067
O 0.3798 0.0000 0.2933
Os 0.3333 0.6667 0.5000
Os 0.6667 0.3333 0.5000
Pb 0.0000 0.0000 0.0000

---

Record 5
VASP calculation (PBE-GGA) on a relaxed structure of OsPbO3.

Electronic total energy = -6.7876 eV/atom
Volume = 14.42 Å³/atom

Cell lengths 5.5919, 5.5919, 6.2268 Å; angles 63.32, 63.32, 60.00 degrees
Last column: magnetic moment on the atom in μB.
Fractional positions:
O 0.5432 0.3225 0.1964  0.05
O 0.3225 0.9379 0.1964  0.05
O 0.6775 0.0621 0.8036  0.05
O 0.0621 0.4568 0.8036  0.05
O 0.9379 0.5432 0.1964  0.05
O 0.4568 0.6775 0.8036  0.05
Os 0.3355 0.3355 0.9934  0.64
Os 0.6645 0.6645 0.0066  0.64
Pb 0.1258 0.1258 0.6227  0.02
Pb 0.8742 0.8742 0.3773  0.02

---

Record 6
VASP calculation (PBE-GGA) on a relaxed structure of OsPdPb2O6.

Electronic total energy = -6.0734 eV/atom
Volume = 13.27 Å³/atom

Cell lengths 5.7253, 5.7253, 5.7253 Å; angles 60.00, 60.00, 60.00 degrees
Last column: magnetic moment on the atom in μB.
Fractional positions:
Os 0.0000 0.0000 0.0000  1.31
Pd 0.5000 0.5000 0.5000  0.25
O 0.7626 0.2374 0.7626  0.07
O 0.2374 0.7626 0.7626  0.07
O 0.7626 0.7626 0.2374  0.08
O 0.2374 0.2374 0.7626  0.08
O 0.7626 0.2374 0.2374  0.07
O 0.2374 0.7626 0.2374  0.07
Pb 0.2500 0.2500 0.2500  0.04
Pb 0.7500 0.7500 0.7500  0.04

---

Record 7
VASP calculation (PBE-GGA) on a relaxed structure of TaOsPb2O6.

Electronic total energy = -7.5492 eV/atom
Volume = 12.90 Å³/atom

Cell lengths 5.6187, 5.6187, 5.6187 Å; angles 61.27, 61.27, 61.27 degrees
Last column: magnetic moment on the atom in μB.
Fractional positions:
Pb 0.7491 0.7491 0.7491  0.00
Pb 0.2509 0.2509 0.2509  0.00
O 0.2431 0.7094 0.7953  0.03
O 0.7094 0.7953 0.2431  0.05
O 0.7569 0.2906 0.2047  0.03
O 0.7953 0.2431 0.7094  0.04
O 0.2047 0.7569 0.2906  0.04
O 0.2906 0.2047 0.7569  0.05
Os 0.5000 0.5000 0.5000  0.76
Ta 0.0000 0.0000 0.0000  -0.05

---

Record 8
VASP calculation (PBE-GGA) on a relaxed structure of TaOsPb2O6.

Electronic total energy = -7.5437 eV/atom
Volume = 12.93 Å³/atom

Cell lengths 5.6799, 5.6799, 5.6799 Å; angles 120.15, 120.15, 89.74 degrees
Last column: magnetic moment on the atom in μB.
Fractional positions:
O 0.2485 0.7515 0.0000  0.04
O 0.7515 0.7515 0.5030  0.04
O 0.2485 0.2485 0.4970  0.04
O 0.2481 0.2481 0.0000  0.04
O 0.7515 0.2485 0.0000  0.04
O 0.7519 0.7519 0.0000  0.04
Os 0.5000 0.5000 0.0000  0.76
Ta 0.0000 0.0000 0.0000  -0.06
Pb 0.2500 0.7500 0.5000  0.00
Pb 0.7500 0.2500 0.5000  0.00

---

Record 9
VASP calculation (PBE-GGA) on a relaxed structure of TmOsPb2O6.

Electronic total energy = -6.9773 eV/atom
Volume = 13.85 Å³/atom

Cell lengths 5.7926, 5.7926, 10.0746 Å; angles 106.03, 106.03, 59.80 degrees
Last column: magnetic moment on the atom in μB.
Fractional positions:
Pb 0.0999 0.6409 0.8741  0.04
Pb 0.6409 0.0999 0.3741  0.04
Pb 0.3591 0.9001 0.6259  0.04
Pb 0.9001 0.3591 0.1259  0.04
Os 0.0000 0.5000 0.5000  1.92
Os 0.5000 0.0000 0.0000  1.92
O 0.8186 0.8819 0.1486  0.11
O 0.3571 0.3357 0.6196  0.10
O 0.1814 0.1181 0.8514  0.11
O 0.8873 0.3092 0.5842  0.10
O 0.3092 0.8873 0.0842  0.10
O 0.8819 0.8186 0.6486  0.11
O 0.6908 0.1127 0.9158  0.10
O 0.1181 0.1814 0.3514  0.11
O 0.6643 0.6429 0.8804  0.10
O 0.3357 0.3571 0.1196  0.10
O 0.1127 0.6908 0.4158  0.10
O 0.6429 0.6643 0.3804  0.10
Tm 0.2489 0.7511 0.2500  0.04
Tm 0.7511 0.2489 0.7500  0.04

---

Record 10
VASP calculation (PBE-GGA) on a relaxed structure of Zn3Os4PbO12.

Electronic total energy = -6.4788 eV/atom
Volume = 10.95 Å³/atom

Cell lengths 6.5773, 6.5773, 6.5773 Å; angles 109.47, 109.47, 109.47 degrees
Last column: magnetic moment on the atom in μB.
Fractional positions:
O 0.1864 0.8764 0.6899  0.05
O 0.1864 0.4965 0.3101  0.05
O 0.8136 0.1236 0.3101  0.05
O 0.6899 0.1864 0.8764  0.06
O 0.1236 0.3101 0.8136  0.05
O 0.8136 0.5035 0.6899  0.05
O 0.5035 0.6899 0.8136  0.04
O 0.6899 0.8136 0.5035  0.06
O 0.3101 0.8136 0.1236  0.06
O 0.4965 0.3101 0.1864  0.04
O 0.3101 0.1864 0.4965  0.06
O 0.8764 0.6899 0.1864  0.05
Os 0.0000 0.5000 0.0000  0.57
Os 0.5000 0.5000 0.5000  0.51
Os 0.0000 0.0000 0.5000  0.63
Os 0.5000 0.0000 0.0000  0.52
Zn 0.0000 0.5000 0.5000  0.02
Zn 0.5000 0.5000 0.0000  0.02
Zn 0.5000 0.0000 0.5000  0.02
Pb 0.0000 0.0000 0.0000  0.01

---

Record 11
VASP calculation (PBE-GGA) on a relaxed structure of ZnOsPb2O6.

Electronic total energy = -6.0174 eV/atom
Volume = 12.61 Å³/atom

Cell lengths 5.6280, 5.6280, 5.6280 Å; angles 60.00, 60.00, 60.00 degrees
Last column: magnetic moment on the atom in μB.
Fractional positions:
Pb 0.7500 0.7500 0.7500  0.03
Pb 0.2500 0.2500 0.2500  0.03
O 0.2412 0.7588 0.7588  0.06
O 0.2412 0.2412 0.7588  0.05
O 0.2412 0.7588 0.2412  0.06
O 0.7588 0.2412 0.2412  0.06
O 0.7588 0.7588 0.2412  0.05
O 0.7588 0.2412 0.7588  0.06
Os 0.0000 0.0000 0.0000  1.10
Zn 0.5000 0.5000 0.5000  0.00

---

Record 12
VASP calculation (PBE-GGA) on a relaxed structure of ZnOsPb2O6.

Electronic total energy = -6.0432 eV/atom
Volume = 12.58 Å³/atom

Cell lengths 5.6597, 5.6597, 5.6597 Å; angles 121.19, 121.19, 87.95 degrees
Last column: magnetic moment on the atom in μB.
Fractional positions:
Pb 0.2500 0.7500 0.5000  0.02
Pb 0.7500 0.2500 0.5000  0.02
O 0.2386 0.2386 0.0000  0.06
O 0.7052 0.1863 0.8915  0.07
O 0.2948 0.8137 0.1085  0.07
O 0.8137 0.7052 0.5189  0.06
O 0.7614 0.7614 0.0000  0.06
O 0.1863 0.2948 0.4811  0.06
Os 0.0000 0.0000 0.0000  1.29
Zn 0.5000 0.5000 0.0000  0.01